Y2TlGeBr | PBE-GGA | relaxed

Structure (POSCAR):
```
Y2TlGeBr
1.0
5.343 0.000 0.000
0.000 5.343 0.000
0.000 0.000 5.272
Y Tl Ge Br
2 1 1 1
Direct
0.000 0.500 0.000
0.500 0.000 0.000
0.000 0.000 0.500
0.500 0.500 0.500
0.500 0.500 0.000
```

N(E_F) (states/eV/atom): 0.642
E (eV per atom): -4.275
SG: P4/mmm (123)
Formation energy from raw total energies (eV/atom): 0.04


Mg14AlZnO16 | PBE-GGA | relaxed

Structure (POSCAR):
```
Mg14AlZnO16
1.0
4.256 0.000 0.000
0.000 8.571 0.000
0.000 0.000 8.607
Mg Al Zn O
14 1 1 16
Direct
0.000 0.000 0.000
0.000 0.000 0.500
0.000 0.250 0.248
0.000 0.250 0.752
0.000 0.750 0.248
0.000 0.750 0.752
0.500 0.000 0.249
0.500 0.000 0.751
0.500 0.249 0.000
0.500 0.250 0.500
0.500 0.500 0.249
0.500 0.500 0.751
0.500 0.750 0.500
0.500 0.751 0.000
0.000 0.500 0.500
0.000 0.500 0.000
0.000 0.000 0.257
0.000 0.000 0.743
0.000 0.235 0.000
0.000 0.263 0.500
0.000 0.500 0.286
0.000 0.500 0.714
0.000 0.737 0.500
0.000 0.765 0.000
0.500 0.000 0.000
0.500 0.000 0.500
0.500 0.251 0.251
0.500 0.251 0.749
0.500 0.500 0.000
0.500 0.500 0.500
0.500 0.749 0.251
0.500 0.749 0.749
```

N(E_F) (states/eV/atom): 0.063
E (eV per atom): -5.896
SG: Pmmm (47)
Formation energy from raw total energies (eV/atom): -2.56


Ba3CaI8 | PBE-GGA | relaxed

Structure (POSCAR):
```
Ba3CaI8
1.0
4.845 -7.436 0.000
4.845 7.436 0.000
0.000 0.000 9.783
Ba Ca I
3 1 8
Direct
0.000 0.000 0.000
0.000 0.500 0.745
0.500 0.000 0.255
0.000 0.000 0.500
0.214 0.786 0.500
0.216 0.248 0.730
0.234 0.766 0.000
0.248 0.216 0.270
0.752 0.784 0.270
0.766 0.234 0.000
0.784 0.752 0.730
0.786 0.214 0.500
```

N(E_F) (states/eV/atom): 0.000
E (eV per atom): -3.391
SG: C222 (21)
Formation energy from raw total energies (eV/atom): -1.71


VAuBr3 | PBE-GGA | relaxed

Structure (POSCAR):
```
VAuBr3
1.0
5.102 0.000 0.000
0.000 5.102 0.000
0.000 0.000 5.102
V Au Br
1 1 3
Direct
0.000 0.000 0.000
0.500 0.500 0.500
0.000 0.000 0.500
0.000 0.500 0.000
0.500 0.000 0.000
```

ΔE to the lowest computed polymorph (eV/f.u.): 0.000
N(E_F) (states/eV/atom): 0.972
E (eV per atom): -3.541
SG: Pm-3m (221)
Formation energy from raw total energies (eV/atom): -0.06


Nd3Ag2Rh | PBE-GGA | relaxed

Structure (POSCAR):
```
Nd3Ag2Rh
1.0
7.201 -3.002 0.000
7.201 3.002 0.000
-2.287 0.000 7.800
Nd Ag Rh
6 4 2
Direct
0.000 0.000 0.250
0.000 0.000 0.750
0.358 0.360 0.930
0.360 0.358 0.430
0.640 0.642 0.570
0.642 0.640 0.070
0.179 0.181 0.590
0.181 0.179 0.090
0.819 0.821 0.910
0.821 0.819 0.410
0.500 0.500 0.250
0.500 0.500 0.750
```

E_form (meV per atom): -288
ΔE to the lowest computed polymorph (eV/f.u.): 0.580
N(E_F) (states/eV/atom): 0.684
E (eV per atom): -4.848
SG: C2/c (15)


Pr2NdMg | PBE-GGA | relaxed

Structure (POSCAR):
```
Pr2NdMg
1.0
1.819 1.050 11.679
-1.819 1.050 11.679
0.000 -2.100 11.679
Pr Nd Mg
2 1 1
Direct
0.000 0.000 0.000
0.161 0.161 0.161
0.581 0.581 0.581
0.414 0.414 0.414
```

E_form (meV per atom): 37
ΔE to the lowest computed polymorph (eV/f.u.): 0.323
N(E_F) (states/eV/atom): 1.295
E (eV per atom): -3.943
SG: R3m (160)